No. 1
Density functional theory data (PBE) for BaLa2CoS5 after structural relaxation.

Its crystal system is tetragonal. As for the space group: No. 140.

Structure (POSCAR):
```
BaLa2CoS5
1.0
-3.984 3.984 6.748
3.984 -3.984 6.748
3.984 3.984 -6.748
Ba La Co S
2 4 2 10
Direct
0.250 0.250 0.000
0.750 0.750 0.000
0.164 0.664 0.828
0.336 0.164 0.500
0.664 0.836 0.500
0.836 0.336 0.172
0.250 0.750 0.500
0.750 0.250 0.500
0.000 0.000 0.000
0.009 0.216 0.500
0.216 0.716 0.207
0.284 0.491 0.500
0.491 0.991 0.207
0.500 0.500 0.000
0.509 0.009 0.793
0.716 0.509 0.500
0.784 0.284 0.793
0.991 0.784 0.500
```

=====

No. 2
Density functional theory data (PBE) for BaLiCoP2 after structural relaxation.

Its crystal system is tetragonal. As for the space group: No. 119.

Structure (POSCAR):
```
BaLiCoP2
1.0
4.306 0.000 0.000
0.000 4.306 0.000
0.000 0.000 12.322
Ba Li Co P
2 2 2 4
Direct
0.000 0.000 0.000
0.500 0.500 0.500
0.000 0.500 0.250
0.500 0.000 0.750
0.000 0.000 0.500
0.500 0.500 0.000
0.000 0.500 0.664
0.000 0.500 0.836
0.500 0.000 0.164
0.500 0.000 0.336
```

=====

No. 3
Density functional theory data (PBE) for BaLiCoTe after structural relaxation.

Its crystal system is cubic. As for the space group: No. 216.

Structure (POSCAR):
```
BaLiCoTe
1.0
7.339 0.000 0.000
0.000 7.339 0.000
0.000 0.000 7.339
Ba Li Co Te
4 4 4 4
Direct
0.000 0.000 0.000
0.000 0.500 0.500
0.500 0.000 0.500
0.500 0.500 0.000
0.250 0.250 0.750
0.250 0.750 0.250
0.750 0.250 0.250
0.750 0.750 0.750
0.000 0.000 0.500
0.000 0.500 0.000
0.500 0.000 0.000
0.500 0.500 0.500
0.250 0.250 0.250
0.250 0.750 0.750
0.750 0.250 0.750
0.750 0.750 0.250
```

=====

Number 1: total DFT energy (no corrections) -0.225 Ha/atom. Number 2: total DFT energy (no corrections) -0.152 Ha/atom. Number 3: total DFT energy (no corrections) -0.124 Ha/atom.